Material: SrReSb
Method: DFT, GGA-PBE
State: relaxed

a b c (Å): 4.552 4.552 4.581
angles (deg): 90.00 90.00 120.00
Each line ends with the local moment (μB).
Atoms (fractional coordinates):
Sr 0.333 0.667 0.667  0.00
Re 0.000 0.000 0.167  0.20
Sb 0.667 0.333 0.167  0.00

Output
Relative energy among the computed polymorphs (eV per atom): 0.094
Magnetization (μB/atom): 0.09
ΔE_f (raw) (eV/atom): 0.327

---

Material: CaAlIO2
Method: DFT, GGA-PBE
State: relaxed

a b c (Å): 4.001 4.001 5.350
angles (deg): 90.00 90.00 90.00
Atoms (fractional coordinates):
I 0.000 0.000 0.500
Ca 0.500 0.500 0.500
O 0.500 0.000 0.000
O 0.000 0.500 0.000
Al 0.000 0.000 0.000

Output
Relative energy among the computed polymorphs (eV per atom): 0.000
Magnetization (μB/atom): 0.00
ΔE_f (raw) (eV/atom): -1.424

---

Material: Cd2FeTc
Method: DFT, GGA-PBE
State: relaxed

a b c (Å): 9.653 9.653 9.653
angles (deg): 16.99 16.99 16.99
Each line ends with the local moment (μB).
Atoms (fractional coordinates):
Cd 0.998 0.998 0.998  0.01
Cd 0.502 0.502 0.502  0.01
Tc 0.750 0.750 0.750  -0.13
Fe 0.250 0.250 0.250  -2.84

Output
Relative energy among the computed polymorphs (eV per atom): 0.270
Magnetization (μB/atom): 0.74
DFT formation energy (meV/atom): 463

---

Material: GdAl2Ag
Method: DFT, GGA-PBE
State: relaxed

a b c (Å): 3.267 3.267 7.506
angles (deg): 90.00 90.00 90.00
Each line ends with the local moment (μB).
Atoms (fractional coordinates):
Gd 0.500 0.500 0.500  -7.24
Al 0.000 0.000 0.209  0.02
Al 0.000 0.000 0.791  0.02
Ag 0.500 0.500 0.000  0.00

Output
Magnetization (μB/atom): 1.85
DFT formation energy (meV/atom): -239

---

Material: BaPa4O10
Method: DFT, GGA-PBE
State: relaxed

a b c (Å): 3.869 3.869 14.686
angles (deg): 97.57 97.57 90.00
Each line ends with the local moment (μB).
Atoms (fractional coordinates):
Pa 0.604 0.604 0.207  0.16
Pa 0.798 0.798 0.596  0.63
Pa 0.396 0.396 0.793  0.16
Pa 0.202 0.202 0.404  0.63
O 0.657 0.157 0.314  -0.01
O 0.934 0.434 0.868  -0.01
O 0.066 0.566 0.132  -0.01
O 0.566 0.066 0.132  -0.01
O 0.843 0.343 0.686  -0.01
O 0.250 0.750 0.500  -0.02
O 0.434 0.934 0.868  -0.01
O 0.750 0.250 0.500  -0.02
O 0.157 0.657 0.314  -0.01
O 0.343 0.843 0.686  -0.01
Ba 0.000 0.000 0.000  0.00

Output
Magnetization (μB/atom): 0.11
ΔE_f (raw) (eV/atom): -3.523

---

Material: La2HoUAs4
Method: DFT, GGA-PBE
State: relaxed

a b c (Å): 4.213 7.304 7.350
angles (deg): 109.17 90.00 90.00
Each line ends with the local moment (μB).
Atoms (fractional coordinates):
As 0.500 0.752 0.768  -0.03
As 0.500 0.248 0.232  -0.03
As 0.000 0.742 0.231  -0.04
As 0.000 0.258 0.769  -0.04
U 0.500 0.500 0.000  2.12
La 0.500 0.000 0.500  0.02
La 0.000 0.500 0.500  0.02
Ho 0.000 0.000 0.000  0.00

Output
Magnetization (μB/atom): 0.29
DFT formation energy (meV/atom): -1335

---

Material: PmZnPd2
Method: DFT, GGA-PBE
State: relaxed

a b c (Å): 4.421 4.421 5.357
angles (deg): 65.63 65.63 60.00
Atoms (fractional coordinates):
Pd 0.787 0.787 0.640
Pd 0.213 0.213 0.360
Pm 0.000 0.000 0.000
Zn 0.500 0.500 0.500

Output
Magnetization (μB/atom): 0.00
DFT formation energy (meV/atom): -721

---

Material: LiSmNp2S4
Method: DFT, GGA-PBE
State: relaxed

a b c (Å): 3.936 6.799 6.793
angles (deg): 109.69 90.00 90.00
Each line ends with the local moment (μB).
Atoms (fractional coordinates):
S 0.000 0.744 0.249  -0.07
S 0.000 0.256 0.751  -0.07
S 0.500 0.258 0.253  -0.06
S 0.500 0.742 0.747  -0.06
Np 0.500 0.000 0.500  4.00
Np 0.000 0.500 0.500  3.91
Sm 0.000 0.000 0.000  0.06
Li 0.500 0.500 0.000  0.00

Output
Magnetization (μB/atom): 1.07
ΔE_f (raw) (eV/atom): -1.538

---

Material: Zr2BiSe2
Method: DFT, GGA-PBE
State: relaxed

a b c (Å): 8.040 8.040 3.428
angles (deg): 90.00 90.00 90.00
Atoms (fractional coordinates):
Zr 0.144 0.356 0.000
Zr 0.856 0.644 0.000
Zr 0.356 0.856 0.000
Zr 0.644 0.144 0.000
Se 0.636 0.864 0.500
Se 0.864 0.364 0.500
Se 0.364 0.136 0.500
Se 0.136 0.636 0.500
Bi 0.500 0.500 0.000
Bi 0.000 0.000 0.000

Output
Relative energy among the computed polymorphs (eV per atom): 0.000
Magnetization (μB/atom): 0.00
ΔE_f (raw) (eV/atom): -0.869

---

Material: Sr2Al9Au3
Method: DFT, GGA-PBE
State: relaxed

a b c (Å): 7.926 7.926 11.019
angles (deg): 91.04 109.65 120.48
Atoms (fractional coordinates):
Al 0.473 0.922 0.744
Al 0.872 0.122 0.750
Al 0.872 0.860 0.575
Al 0.128 0.878 0.250
Al 0.544 0.349 0.080
Al 0.538 0.180 0.553
Al 0.214 0.702 0.075
Al 0.769 0.464 0.420
Al 0.462 0.820 0.447
Al 0.127 0.985 0.947
Al 0.678 0.729 0.756
Al 0.786 0.298 0.925
Al 0.873 0.015 0.053
Al 0.128 0.140 0.425
Al 0.456 0.651 0.920
Al 0.322 0.271 0.244
Al 0.527 0.078 0.256
Al 0.231 0.536 0.580
Sr 0.662 0.752 0.248
Sr 0.996 0.586 0.748
Sr 0.004 0.414 0.252
Sr 0.338 0.248 0.752
Au 0.854 0.177 0.498
Au 0.500 0.500 0.500
Au 0.500 0.000 0.000
Au 0.146 0.823 0.502
Au 0.178 0.356 0.002
Au 0.822 0.644 0.998

Output
Magnetization (μB/atom): 0.00
DFT formation energy (meV/atom): -333

---

Material: Y2HfZrBi
Method: DFT, GGA-PBE
State: relaxed

a b c (Å): 5.675 5.401 5.675
angles (deg): 90.00 90.00 90.00
Each line ends with the local moment (μB).
Atoms (fractional coordinates):
Hf 0.000 0.500 0.000  0.15
Zr 0.500 0.500 0.500  0.84
Bi 0.000 0.000 0.000  0.03
Y 0.000 0.000 0.500  0.15
Y 0.500 0.000 0.000  0.16

Output
Relative energy among the computed polymorphs (eV per atom): 0.167
Magnetization (μB/atom): 0.52
DFT formation energy (meV/atom): 824

---

Material: BaHg4Os
Method: DFT, GGA-PBE
State: relaxed

a b c (Å): 5.975 5.975 5.975
angles (deg): 60.00 60.00 60.00
Each line ends with the local moment (μB).
Atoms (fractional coordinates):
Os 0.750 0.750 0.750  1.53
Hg 0.376 0.872 0.376  0.00
Hg 0.376 0.376 0.872  0.00
Hg 0.872 0.376 0.376  0.00
Hg 0.376 0.376 0.376  0.00
Ba 0.000 0.000 0.000  -0.01

Output
Magnetization (μB/atom): 0.29
DFT formation energy (meV/atom): 534